<A>
Material: ZnGaSeN2
Method: DFT, GGA-PBE
State: optimized geometry

D(E_F) ... 2.06 states/eV per cell

Cell lengths 3.899, 3.899, 5.779 Å; angles 90.00, 90.00, 90.00 degrees
Last column: magnetic moment on the atom in μB.
Positions (direct):
1 N 0.500 0.000 0.000  1.06
2 N 0.000 0.500 0.000  1.06
3 Se 0.000 0.000 0.500  0.16
4 Zn 0.000 0.000 0.000  0.05
5 Ga 0.500 0.500 0.500  -0.01



<B>
Material: ZnGaSeN2
Method: DFT, GGA-PBE
State: optimized geometry

D(E_F) ... 2.71 states/eV per cell

Cell lengths 3.829, 3.829, 5.798 Å; angles 90.00, 90.00, 90.00 degrees
Last column: magnetic moment on the atom in μB.
Positions (direct):
1 N 0.000 0.500 0.000  0.93
2 Zn 0.500 0.500 0.500  -0.01
3 Se 0.000 0.000 0.500  0.15
4 N 0.500 0.000 0.000  0.93
5 Ga 0.000 0.000 0.000  -0.01



The computed energies, referenced to the most stable structure and given in meV/atom, are <A> 218; <B> 0.



<A>
Material: HgAu2Cl
Method: DFT, GGA-PBE
State: optimized geometry

D(E_F) ... 1.06 states/eV per cell

Cell lengths 5.776, 5.776, 5.776 Å; angles 149.39, 115.54, 73.03 degrees
Positions (direct):
1 Au 0.497 0.497 0.000
2 Au 0.003 0.003 0.000
3 Cl 0.250 0.750 0.500
4 Hg 0.750 0.250 0.500



<B>
Material: HgAu2Cl
Method: DFT, GGA-PBE
State: optimized geometry

D(E_F) ... 1.11 states/eV per cell

Cell lengths 3.259, 3.991, 6.488 Å; angles 90.00, 90.00, 90.00 degrees
Positions (direct):
1 Hg 0.500 0.500 0.750
2 Cl 0.500 0.500 0.250
3 Au 0.000 0.000 0.530
4 Au 0.000 0.000 0.970



The computed energies, referenced to the most stable structure and given in meV/atom, are <A> 0; <B> 109.